No. 1
CsHfAsPt2, optimized geometry, DFT GGA-PBE; formation energy from the elements = 2.222 eV/atom; space group = No. 123; total magnetic moment = 0.0000 μB/atom
1.0
5.0641 0.0000 0.0000
0.0000 5.4854 0.0000
0.0000 0.0000 5.0641
Hf Pt Cs As
1 2 1 1
Direct
0.0000 0.5000 0.0000
0.5000 0.0000 0.0000
0.0000 0.0000 0.5000
0.0000 0.0000 0.0000
0.5000 0.5000 0.5000

No. 2
La2BeNi, optimized geometry, DFT GGA-PBE; formation energy from the elements = 0.008 eV/atom; space group = No. 47; total magnetic moment = 0.0000 μB/atom
1.0
-1.6673 -1.0378 3.0144
1.7965 -3.1322 -0.0847
6.9613 -0.2670 3.7584
Ni Be La
1 1 2
Direct
0.5000 0.2500 0.2500
0.5000 0.7500 0.7500
0.0000 0.5051 0.4952
0.0000 0.9949 0.0048

No. 3
CuSF2, optimized geometry, DFT GGA-PBE; relative energy among the computed polymorphs = 0.37 eV per formula unit; space group = No. 122; total magnetic moment = 0.0000 μB/atom
1.0
7.4117 0.0000 0.0000
0.0000 7.4117 0.0000
3.7059 3.7059 2.2887
Cu F S
2 4 2
Direct
0.7500 0.2500 0.5000
0.0000 0.0000 0.0000
0.3750 0.1889 0.7500
0.8111 0.1250 0.2500
0.9389 0.6250 0.2500
0.8750 0.0611 0.7500
0.5000 0.5000 0.0000
0.2500 0.7500 0.5000

No. 4
Ca2AcTcO6, optimized geometry, DFT GGA-PBE; space group = No. 99; total magnetic moment = 0.0000 μB/atom
1.0
-5.1956 -1.5656 -0.1809
0.2611 -0.2109 -5.6751
1.6295 -5.4395 0.2771
O Ac Ca Tc
6 1 2 1
Direct
0.7418 0.2243 0.2243
0.7418 0.7757 0.2243
0.7418 0.2243 0.7757
0.7418 0.7757 0.7757
0.1267 0.5000 0.5000
0.2768 0.0000 0.0000
0.5550 0.5000 0.5000
0.9617 0.0000 0.5000
0.9617 0.5000 0.0000
0.5977 0.0000 0.0000

No. 5
Li2Ho3In3Ru, optimized geometry, DFT GGA-PBE; formation energy from the elements = -0.379 eV/atom; space group = No. 189; total magnetic moment = 0.0000 μB/atom
1.0
-3.1372 -1.2099 0.1840
2.4686 -5.5115 5.8471
-2.7928 7.5901 2.2913
Ho Ru In Li
3 1 3 2
Direct
0.5000 0.2648 0.2648
0.5000 0.0000 0.7352
0.5000 0.7352 0.0000
0.0000 0.0000 0.0000
0.0000 0.6197 0.6197
0.0000 0.3803 0.0000
0.0000 0.0000 0.3803
0.5000 0.6667 0.3333
0.5000 0.3333 0.6667

No. 6
FeCo2SiRh, optimized geometry, DFT GGA-PBE; space group = No. 123; total magnetic moment = 0.9757 μB/atom
1.0
4.1856 0.0000 0.0000
0.0000 4.1795 0.0000
0.0000 0.0000 4.1856
Co Rh Fe Si
2 1 1 1
Direct
0.0000 0.0000 0.5000
0.5000 0.0000 0.0000
0.5000 0.5000 0.5000
0.0000 0.0000 0.0000
0.0000 0.5000 0.0000

Computed DFT total energy (Ry/atom) in order:
-0.241, -0.355, -0.253, -0.528, -0.314, -0.458